1.
# KTcSe3 PBE relaxed
# * energy: -23.0 eV for the cell shown
# * total magnetization: 1.57 Bohr magnetons per cell
# * N(E_F): 6.563 states/eV/f.u.
# * distance to the lowest polymorph of the same formula: 0.00 eV/f.u.
# * uncorrected formation energy: -207 meV per atom
data_KTcSe3
_space_group_name_H-M_alt 'P m -3 m'
_space_group_IT_number 221
_space_group_name_Hall '-P 4 2 3'
_cell_length_a 5.028
_cell_length_b 5.028
_cell_length_c 5.028
_cell_angle_alpha 90.00
_cell_angle_beta 90.00
_cell_angle_gamma 90.00
loop_
_atom_site_label
_atom_site_fract_x
_atom_site_fract_y
_atom_site_fract_z
K1 0.000 0.000 0.000
Tc1 0.500 0.500 0.500
Se1 0.000 0.500 0.500

---

2.
# CrCoAu4 PBE relaxed
# * energy: -107.3 eV for the cell shown
# * total magnetization: 26.34 Bohr magnetons per cell
# * N(E_F): 3.441 states/eV/f.u.
# * energy of formation from the pure elements: 501 meV/atom
data_CrCoAu4
_space_group_name_H-M_alt 'F -4 3 m'
_space_group_IT_number 216
_space_group_name_Hall 'F -4 2 3'
_cell_length_a 7.676
_cell_length_b 7.676
_cell_length_c 7.676
_cell_angle_alpha 90.00
_cell_angle_beta 90.00
_cell_angle_gamma 90.00
loop_
_atom_site_label
_atom_site_fract_x
_atom_site_fract_y
_atom_site_fract_z
Cr1 0.000 0.000 0.000
Co1 0.250 0.250 0.250
Au1 0.125 0.125 0.625